1.
Here is an optimized crystal structure of Lu6Sb2Mo from the Alexandria database. Energies are from PBE.

Lattice parameters (Å, degrees): 7.986 7.986 4.298 90.00 90.00 120.00
Fractional coordinates of all 9 atoms:
Lu: 0.239 0.000 0.000
Lu: 0.000 0.239 0.000
Lu: 0.392 0.392 0.500
Lu: 0.608 0.000 0.500
Lu: 0.761 0.761 0.000
Lu: 0.000 0.608 0.500
Sb: 0.333 0.667 0.000
Sb: 0.667 0.333 0.000
Mo: 0.000 0.000 0.500

Properties
Space-group type = P-62m
Energy relative to the elements, uncorrected = -0.5368 eV/atom
Spin magnetization = 0.0 μB per formula unit

***

2.
Here is an optimized crystal structure of Sr2CaAu9 from the Alexandria database. Energies are from PBE.

Lattice parameters (Å, degrees): 5.682 5.682 10.133 73.72 73.72 60.00
Fractional coordinates of all 12 atoms:
Au: 0.082 0.584 0.750
Au: 0.333 0.333 0.002
Au: 0.584 0.082 0.750
Au: 0.584 0.584 0.750
Au: 0.918 0.416 0.250
Au: 0.416 0.416 0.250
Au: 0.667 0.667 0.998
Au: 0.500 0.500 0.500
Au: 0.416 0.918 0.250
Sr: 0.140 0.140 0.579
Sr: 0.860 0.860 0.421
Ca: 0.000 0.000 0.000

Properties
Space-group type = R-3m
Spin magnetization = 0.0 μB per formula unit
DFT total energy = -0.126 hartree per atom

***

3.
Here is an optimized crystal structure of Be2PdPt2 from the Alexandria database. Energies are from PBE.

Lattice parameters (Å, degrees): 2.992 2.992 7.585 78.62 78.62 90.00
Fractional coordinates of all 5 atoms:
Pt: 0.368 0.368 0.265
Pt: 0.632 0.632 0.735
Be: 0.750 0.250 0.500
Be: 0.250 0.750 0.500
Pd: 0.000 0.000 0.000

Properties
Space-group type = I4/mmm
Energy above the lowest structure with this stoichiometry = 300 meV per atom
Spin magnetization = 0.0 μB per formula unit

***

4.
Here is an optimized crystal structure of NaH2Au from the Alexandria database. Energies are from PBE.

Lattice parameters (Å, degrees): 3.669 3.669 5.456 70.35 70.35 60.00
Fractional coordinates of all 4 atoms:
H: 0.110 0.110 0.671
H: 0.890 0.890 0.329
Na: 0.500 0.500 0.500
Au: 0.000 0.000 0.000

Properties
Space-group type = R-3m
Energy above the lowest structure with this stoichiometry = 1 meV per atom
Spin magnetization = 0.0 μB per formula unit